[1]
Material: PAu2Br
Method: DFT, GGA-PBE
State: optimized geometry

```
4
Lattice="3.488 0.000 0.000 0.000 3.488 0.000 0.000 0.000 7.465" Properties=species:S:1:pos:R:3 pbc="T T T"
P 0.000 0.000 0.000
Au 0.000 0.000 2.444
Au 1.744 1.744 0.758
Br 1.744 1.744 4.206
```

Computed properties:
- E above lowest polymorph: 50 kJ/mol of formula units
- Uncorrected energy: -12.8 eV per cell
- Raw formation energy: 0.22 eV per atom


[2]
Material: BaLiRe
Method: DFT, GGA-PBE
State: optimized geometry

```
6
Lattice="2.996 0.000 0.000 0.000 2.996 0.000 0.000 0.000 14.958" Properties=species:S:1:pos:R:3 pbc="T T T"
Ba 0.000 0.000 0.000
Ba 1.498 1.498 7.479
Li 0.000 0.000 10.572
Li 1.498 1.498 3.094
Re 0.000 0.000 4.859
Re 1.498 1.498 12.338
```

Computed properties:
- E above lowest polymorph: 8 kJ/mol of formula units
- Uncorrected energy: -26.1 eV per cell
- DFT formation energy: 1.08 eV per atom